Entry 1:
The following is a PBE calculation of a relaxed BaAcSbBr crystal, from Alexandria.

Geometry as extended XYZ:
```
8
Lattice="5.382 0.000 0.000 2.691 4.661 0.000 2.691 1.554 13.418" Properties=species:S:1:pos:R:3 pbc="T T T"
Sb 8.073 4.661 4.342
Sb 2.691 1.554 9.076
Ac 8.073 4.661 7.931
Ac 2.691 1.554 5.487
Ba 5.382 3.107 2.295
Ba 5.382 3.107 11.123
Br 2.691 1.554 1.163
Br 8.073 4.661 12.255
```

As for the energy relative to the elements, uncorrected: -1318 meV/atom. As for the space group: No. 166.

=====

Entry 2:
The following is a PBE calculation of a relaxed BaAc2C2N6 crystal, from Alexandria.

Geometry as extended XYZ:
```
11
Lattice="-3.659 -0.172 5.648 2.066 -1.860 3.751 0.754 6.879 1.503" Properties=species:S:1:pos:R:3 pbc="T T T"
Ac -1.727 4.922 7.072
Ac 0.888 -0.074 3.831
N -2.856 0.416 7.024
N -1.135 0.388 5.352
N 1.243 2.443 4.789
N -2.082 2.404 6.114
N 2.017 4.431 3.878
N 0.296 4.460 5.551
C -2.008 1.056 6.155
C 1.169 3.791 4.747
Ba -1.453 3.354 3.576
```

As for the energy relative to the elements, uncorrected: -534 meV/atom. As for the space group: No. 2.

=====

Entry 3:
The following is a PBE calculation of a relaxed BaAcC2O6 crystal, from Alexandria.

Geometry as extended XYZ:
```
20
Lattice="-5.146 3.393 2.817 -3.751 -4.135 -3.843 2.844 -4.257 5.407" Properties=species:S:1:pos:R:3 pbc="T T T"
O -1.199 -3.147 5.074
O -6.007 -2.246 1.229
O -2.450 0.437 3.308
O -0.046 -2.752 3.152
O -5.804 0.895 2.088
O -2.302 -2.741 0.847
O -4.594 -4.324 3.977
O -4.854 -1.852 -0.693
O -0.250 -5.893 2.293
O -3.752 -2.258 3.534
O -1.459 -0.674 0.404
O -3.603 -5.435 1.073
Ac -2.173 -4.334 2.860
Ac -3.880 -0.664 1.520
Ba -3.234 -4.151 -1.564
Ba -2.819 -0.847 5.945
C -1.339 -1.993 0.280
C -0.222 -2.474 4.441
C -5.831 -2.525 -0.061
C -4.714 -3.005 4.101
```

As for the energy relative to the elements, uncorrected: -2118 meV/atom. As for the space group: No. 15.

=====

Entry 4:
The following is a PBE calculation of a relaxed Ba2CaAc crystal, from Alexandria.

Geometry as extended XYZ:
```
4
Lattice="6.636 0.000 0.000 3.318 5.747 0.000 3.318 1.916 5.418" Properties=species:S:1:pos:R:3 pbc="T T T"
Ac 0.000 0.000 0.000
Ca 6.636 3.831 2.709
Ba 9.954 5.747 4.064
Ba 3.318 1.916 1.355
```

As for the space group: No. 225. The calculation puts the energy of formation from the pure elements at 96 meV per atom.

=====

Entry 5:
The following is a PBE calculation of a relaxed BaCa4Ac2 crystal, from Alexandria.

Geometry as extended XYZ:
```
7
Lattice="6.096 0.000 0.000 0.000 6.096 0.000 -3.048 -3.048 9.527" Properties=species:S:1:pos:R:3 pbc="T T T"
Ac 0.000 0.000 7.381
Ac 3.048 3.048 2.146
Ba 0.000 0.000 0.000
Ca 0.000 0.000 3.432
Ca 0.000 3.048 0.000
Ca 3.048 0.000 0.000
Ca 3.048 3.048 6.095
```

As for the space group: No. 139. The calculation puts the energy of formation from the pure elements at 580 meV per atom.

=====

Entry 6:
The following is a PBE calculation of a relaxed Ba2Ca4Ac crystal, from Alexandria.

Geometry as extended XYZ:
```
7
Lattice="6.392 0.000 0.000 0.000 6.392 0.000 -3.196 -3.196 10.005" Properties=species:S:1:pos:R:3 pbc="T T T"
Ca 3.196 0.000 0.000
Ca 0.000 3.196 0.000
Ca 0.000 0.000 3.396
Ca 3.196 3.196 6.609
Ba 0.000 0.000 7.628
Ba 3.196 3.196 2.377
Ac 0.000 0.000 0.000
```

As for the space group: No. 139. The calculation puts the energy of formation from the pure elements at 470 meV per atom.

=====

Entry 7:
The following is a PBE calculation of a relaxed Ba2Ca7Ac2 crystal, from Alexandria.

Geometry as extended XYZ:
```
11
Lattice="3.912 0.000 -0.704 -0.848 9.113 -4.712 0.499 1.470 13.997" Properties=species:S:1:pos:R:3 pbc="T T T"
Ba 2.771 4.428 4.180
Ba 0.499 9.303 2.774
Ca 0.622 0.587 3.455
Ca 0.217 3.447 1.205
Ca 1.463 5.048 8.131
Ca 1.997 6.644 -0.123
Ca 3.125 8.025 6.145
Ca 3.785 2.417 9.816
Ca 1.933 0.255 -0.484
Ac 1.621 3.600 -2.213
Ac -0.592 6.359 -3.288
```

As for the space group: No. 44. The calculation puts the energy of formation from the pure elements at 113 meV per atom.

=====

Entry 8:
The following is a PBE calculation of a relaxed Ba2Ca8Ac crystal, from Alexandria.

Geometry as extended XYZ:
```
11
Lattice="-4.815 0.854 4.072 1.870 -5.120 3.284 7.743 7.668 7.547" Properties=species:S:1:pos:R:3 pbc="T T T"
Ca 7.498 3.939 8.039
Ca 2.115 -1.391 2.792
Ca 3.674 2.963 8.695
Ca -1.227 1.595 3.186
Ca 4.156 6.926 8.433
Ca 4.806 1.274 5.416
Ca 1.464 4.261 5.810
Ca 1.124 0.438 6.209
Ba 2.503 2.478 2.440
Ba 5.240 5.190 5.108
Ac 0.000 0.000 0.000
```

As for the space group: No. 123. The calculation puts the energy of formation from the pure elements at 174 meV per atom.

=====

Entry 9:
The following is a PBE calculation of a relaxed BaCa3Ac3 crystal, from Alexandria.

Geometry as extended XYZ:
```
14
Lattice="6.467 0.000 0.000 0.000 9.232 -5.271 0.000 -0.051 10.633" Properties=species:S:1:pos:R:3 pbc="T T T"
Ca 4.850 0.371 8.365
Ca 1.617 2.173 -0.769
Ca 4.850 7.008 6.130
Ca 4.850 1.754 1.499
Ca 1.617 8.811 -3.003
Ca 1.617 7.427 3.862
Ac 4.850 4.377 -1.456
Ac 4.850 8.305 -0.752
Ac 1.617 3.449 3.064
Ac 1.617 0.876 6.114
Ac 4.850 5.732 2.298
Ac 1.617 4.805 6.818
Ba 1.617 6.137 0.030
Ba 4.850 3.044 5.331
```

As for the space group: No. 176. The calculation puts the energy of formation from the pure elements at 65 meV per atom.

=====

Entry 10:
The following is a PBE calculation of a relaxed BaCa4Ac crystal, from Alexandria.

Geometry as extended XYZ:
```
6
Lattice="-6.496 0.089 3.555 -1.434 -5.053 5.220 -0.297 2.013 7.120" Properties=species:S:1:pos:R:3 pbc="T T T"
Ac -2.057 -0.738 3.974
Ca -4.423 0.668 7.329
Ca -4.987 -2.842 6.385
Ca -5.135 -1.842 9.922
Ca -1.908 -1.886 8.156
Ba 0.000 0.000 0.000
```

As for the space group: No. 216. The calculation puts the energy of formation from the pure elements at 110 meV per atom.

=====

Entry 11:
The following is a PBE calculation of a relaxed BaCa8Ac6 crystal, from Alexandria.

Geometry as extended XYZ:
```
15
Lattice="-6.158 -5.195 5.489 3.004 -8.267 4.205 1.277 -0.293 9.813" Properties=species:S:1:pos:R:3 pbc="T T T"
Ac -1.336 -2.060 3.074
Ac -0.541 -11.694 16.434
Ac 1.306 -4.736 3.844
Ac 0.355 -8.698 14.208
Ac -2.231 -5.056 5.300
Ac -3.183 -9.018 15.663
Ca -1.483 -7.858 8.214
Ca 2.234 -8.389 10.577
Ca 1.733 -6.230 7.414
Ca -0.394 -5.896 11.293
Ca -0.759 -3.491 8.515
Ca -4.111 -5.365 8.930
Ca -3.610 -7.524 12.093
Ca -1.118 -10.263 10.993
Ba 0.000 0.000 0.000
```

As for the space group: No. 148. The calculation puts the energy of formation from the pure elements at 124 meV per atom.

=====

Entry 12:
The following is a PBE calculation of a relaxed BaCa8Ac2 crystal, from Alexandria.

Geometry as extended XYZ:
```
11
Lattice="-3.054 5.448 3.002 -5.891 -1.218 -3.783 -0.634 -5.310 9.371" Properties=species:S:1:pos:R:3 pbc="T T T"
Ca -3.777 -1.843 -0.201
Ca -6.586 0.758 -0.022
Ca -3.621 1.371 1.882
Ca -5.959 -2.451 6.707
Ca -2.993 -1.838 8.612
Ca -4.153 2.520 5.656
Ca -5.426 -3.600 2.934
Ca -5.803 0.763 8.790
Ac -6.584 -0.204 3.643
Ac -2.996 -0.876 4.947
Ba 0.000 0.000 0.000
```

As for the space group: No. 12. The calculation puts the energy of formation from the pure elements at 139 meV per atom.

=====

Entry 13:
The following is a PBE calculation of a relaxed Ba2CaAc crystal, from Alexandria.

Geometry as extended XYZ:
```
4
Lattice="4.655 0.000 0.000 0.000 6.649 0.000 0.000 0.000 6.649" Properties=species:S:1:pos:R:3 pbc="T T T"
Ca 2.327 0.000 0.000
Ac 2.327 3.324 3.324
Ba 0.000 3.324 0.000
Ba 0.000 0.000 3.324
```

As for the space group: No. 123. The calculation puts the energy of formation from the pure elements at 90 meV per atom.

=====

Entry 14:
The following is a PBE calculation of a relaxed BaCa4Ac crystal, from Alexandria.

Geometry as extended XYZ:
```
12
Lattice="6.872 0.000 1.392 0.000 11.922 0.000 1.149 0.000 6.905" Properties=species:S:1:pos:R:3 pbc="T T T"
Ca 0.576 2.024 3.452
Ca 1.151 4.006 6.905
Ca 4.587 1.955 7.601
Ca 3.434 9.967 0.697
Ca 6.870 7.916 1.393
Ca 7.445 9.898 4.845
Ca 4.012 3.937 4.149
Ca 4.009 7.985 4.149
Ac 4.010 0.000 4.149
Ac 0.575 5.961 3.453
Ba 3.436 5.961 0.696
Ba 0.000 0.000 0.000
```

As for the space group: No. 12. The calculation puts the energy of formation from the pure elements at 62 meV per atom.

=====

Entry 15:
The following is a PBE calculation of a relaxed Ba2Ca6Ac crystal, from Alexandria.

Geometry as extended XYZ:
```
18
Lattice="7.162 -0.735 1.425 1.972 10.638 0.100 -1.383 -1.713 10.593" Properties=species:S:1:pos:R:3 pbc="T T T"
Ca 2.458 4.341 0.808
Ca 5.640 2.093 1.296
Ca 8.138 6.383 4.762
Ca 3.180 1.684 8.353
Ca 4.732 -0.841 5.611
Ca 1.295 -0.351 2.972
Ca 2.111 6.097 10.822
Ca 5.293 3.848 11.310
Ca -0.387 1.807 7.357
Ca 3.020 9.031 6.507
Ca 6.456 8.541 9.147
Ca 4.571 6.505 3.765
Ba 4.815 5.420 7.620
Ba 1.157 5.504 7.148
Ba 6.594 2.686 4.971
Ba 2.936 2.770 4.499
Ac 0.667 -0.939 10.136
Ac 7.084 9.129 1.982
```

As for the space group: No. 15. The calculation puts the energy of formation from the pure elements at 129 meV per atom.

=====

Entry 16:
The following is a PBE calculation of a relaxed Ba3Ca4Ac crystal, from Alexandria.

Geometry as extended XYZ:
```
8
Lattice="4.501 0.000 0.000 0.000 4.501 0.000 0.000 0.000 19.782" Properties=species:S:1:pos:R:3 pbc="T T T"
Ca 0.000 0.000 2.186
Ca 0.000 0.000 17.595
Ca 0.000 0.000 7.296
Ca 0.000 0.000 12.486
Ba 2.251 2.251 4.689
Ba 2.251 2.251 15.093
Ba 2.251 2.251 9.891
Ac 2.251 2.251 0.000
```

As for the space group: No. 123. The calculation puts the energy of formation from the pure elements at 38 meV per atom.

=====

Entry 17:
The following is a PBE calculation of a relaxed BaCa2Ac crystal, from Alexandria.

Geometry as extended XYZ:
```
4
Lattice="4.018 0.000 0.000 2.009 3.480 0.000 2.009 1.160 13.343" Properties=species:S:1:pos:R:3 pbc="T T T"
Ca 2.009 1.160 3.211
Ca 6.027 3.480 10.132
Ac 0.000 0.000 0.000
Ba 4.018 2.320 6.672
```

As for the space group: No. 166. The calculation puts the energy of formation from the pure elements at 53 meV per atom.

=====

Entry 18:
The following is a PBE calculation of a relaxed Ba2Ca15Ac2 crystal, from Alexandria.

Geometry as extended XYZ:
```
19
Lattice="-3.441 -9.109 -0.364 4.421 -2.747 -8.238 7.661 -4.461 4.045" Properties=species:S:1:pos:R:3 pbc="T T T"
Ca -1.141 -7.248 -2.667
Ca -0.194 -7.750 0.926
Ca 6.862 -7.968 0.413
Ca 6.713 -3.960 0.453
Ca 4.413 -5.821 2.755
Ca -1.721 -4.555 -0.182
Ca 7.315 -6.031 -2.771
Ca 5.369 -3.248 -4.645
Ca 5.247 -7.113 -5.712
Ca 2.122 -4.608 -5.935
Ca 2.211 -1.373 -4.119
Ca 3.394 -9.204 1.155
Ca 1.779 -8.349 -4.970
Ca 1.325 -10.286 -1.785
Ca 3.830 -2.231 2.023
Ba 2.890 -5.457 -1.524
Ba 5.751 -10.860 -3.033
Ac 0.843 -1.591 -0.444
Ac 7.798 -14.726 -4.112
```

As for the space group: No. 166. The calculation puts the energy of formation from the pure elements at 94 meV per atom.

=====

Entry 19:
The following is a PBE calculation of a relaxed Ba2Ca2Ac3 crystal, from Alexandria.

Geometry as extended XYZ:
```
7
Lattice="4.238 0.000 -0.511 0.000 5.111 0.000 -0.120 0.000 16.826" Properties=species:S:1:pos:R:3 pbc="T T T"
Ac 1.759 2.555 14.582
Ac 0.000 0.000 0.000
Ac 2.359 2.555 1.733
Ca 0.476 0.000 3.943
Ca 3.643 0.000 12.372
Ba 1.231 2.555 10.205
Ba 2.887 2.555 6.110
```

As for the space group: No. 65. The calculation puts the energy of formation from the pure elements at 113 meV per atom.

=====

Entry 20:
The following is a PBE calculation of a relaxed Ba6Ca2Ac crystal, from Alexandria.

Geometry as extended XYZ:
```
9
Lattice="-0.644 3.315 2.235 -4.726 -1.823 5.011 19.303 1.520 6.974" Properties=species:S:1:pos:R:3 pbc="T T T"
Ca 13.194 3.106 10.200
Ca 0.739 -0.094 4.021
Ba 10.779 0.949 5.365
Ba 3.940 2.653 4.537
Ba 17.000 2.559 8.439
Ba -3.066 0.453 5.782
Ba 3.155 2.062 8.855
Ba 9.994 0.359 9.683
Ac 6.967 1.506 7.110
```

As for the space group: No. 12. The calculation puts the energy of formation from the pure elements at 136 meV per atom.

=====

Entry 21:
The following is a PBE calculation of a relaxed Ba2CaAc crystal, from Alexandria.

Geometry as extended XYZ:
```
4
Lattice="-2.815 -2.761 -1.280 0.256 -3.948 1.239 -8.715 0.697 10.955" Properties=species:S:1:pos:R:3 pbc="T T T"
Ac -1.709 -4.472 -0.023
Ca -5.635 -3.007 5.454
Ba -2.807 -1.507 2.713
Ba -6.760 -0.032 8.228
```

As for the space group: No. 160. The calculation puts the energy of formation from the pure elements at 78 meV per atom.

=====

Entry 22:
The following is a PBE calculation of a relaxed Ba2CaAc crystal, from Alexandria.

Geometry as extended XYZ:
```
4
Lattice="4.043 0.000 0.000 2.021 3.501 0.000 2.021 1.167 14.680" Properties=species:S:1:pos:R:3 pbc="T T T"
Ba 2.021 1.167 10.778
Ba 6.064 3.501 3.902
Ca 4.043 2.334 7.340
Ac 0.000 0.000 0.000
```

As for the space group: No. 166. The calculation puts the energy of formation from the pure elements at 213 meV per atom.

=====

Entry 23:
The following is a PBE calculation of a relaxed Ba2Ca3Ac crystal, from Alexandria.

Geometry as extended XYZ:
```
6
Lattice="-2.368 3.753 -0.689 -3.794 -2.230 0.894 1.323 3.440 14.200" Properties=species:S:1:pos:R:3 pbc="T T T"
Ca 0.858 2.232 9.212
Ca 0.000 0.000 0.000
Ca 0.465 1.208 4.988
Ba -1.996 3.582 11.744
Ba -2.843 1.381 2.661
Ac -2.420 2.482 7.203
```

As for the space group: No. 123. The calculation puts the energy of formation from the pure elements at 37 meV per atom.

=====

For reference, E_tot by record: -4.275 -7.674 -7.541 -2.393 -2.013 -1.810 -2.257 -2.005 -2.829 -2.230 -2.715 -2.239 -2.399 -2.277 -2.089 -2.198 -2.456 -2.121 -2.769 -2.047 -2.411 -2.276 -2.290 eV/atom.